VASP calculation (PBE-GGA) on a relaxed structure of RbUAs2.

Fermi-level density of states (states/eV/atom): 1.150
Calculated formation energy (eV per atom): -0.548

abc: 4.283 4.283 8.305
angles: 75.06 75.06 60.00
Each line ends with the local moment (μB).
Sites, in units of the cell vectors:
As 0.275 0.275 0.175  -0.07
As 0.725 0.725 0.825  -0.07
U 0.000 0.000 0.000  1.23
Rb 0.500 0.500 0.500  0.00